# Ce3Zr, optimized geometry, DFT GGA-PBE
# - Energy of formation: 0.88 eV/f.u.
data_Ce3Zr
_symmetry_space_group_name_H-M 'P 1'
_symmetry_Int_Tables_number 1
_cell_length_a 5.2749
_cell_length_b 5.2749
_cell_length_c 5.2749
_cell_angle_alpha 60.00
_cell_angle_beta 60.00
_cell_angle_gamma 60.00
loop_
_symmetry_equiv_pos_as_xyz
'x,y,z'
loop_
_atom_site_label
_atom_site_type_symbol
_atom_site_fract_x
_atom_site_fract_y
_atom_site_fract_z
_atom_site_occupancy
Zr1 Zr 0.5000 0.5000 0.5000 1
Ce1 Ce 0.0000 0.0000 0.0000 1
Ce2 Ce 0.7500 0.7500 0.7500 1
Ce3 Ce 0.2500 0.2500 0.2500 1